(1)
First-principles (GGA-PBE) data for a geometry-optimized AcSmS3 structure, as listed in Alexandria.

Output
Its uncorrected formation energy is -2133 meV per atom.

a = 7.6510 Å, b = 4.1976 Å, c = 15.8937 Å
α = 90.00°, β = 90.00°, γ = 90.00°
Fractional coordinates of all 20 atoms:
Ac  0.1444  0.2500  0.1988
Ac  0.3556  0.7500  0.6988
Ac  0.6444  0.2500  0.3012
Ac  0.8556  0.7500  0.8012
Sm  0.2296  0.7500  0.4558
Sm  0.2704  0.2500  0.9558
Sm  0.7296  0.7500  0.0442
Sm  0.7704  0.2500  0.5442
S  0.0133  0.2500  0.3962
S  0.1278  0.7500  0.0583
S  0.1505  0.2500  0.7859
S  0.3495  0.7500  0.2859
S  0.3722  0.2500  0.5583
S  0.4867  0.7500  0.8962
S  0.5133  0.2500  0.1038
S  0.6278  0.7500  0.4417
S  0.6505  0.2500  0.7141
S  0.8495  0.7500  0.2141
S  0.8722  0.2500  0.9417
S  0.9867  0.7500  0.6038


(2)
First-principles (GGA-PBE) data for a geometry-optimized AcSm3S structure, as listed in Alexandria.

Output
Its uncorrected formation energy is -687 meV per atom. Its density of states at the Fermi level is 1.515 states/eV per atom.

a = 5.5109 Å, b = 5.5109 Å, c = 5.5109 Å
α = 90.00°, β = 90.00°, γ = 90.00°
Fractional coordinates of all 5 atoms:
Ac  0.0000  0.0000  0.0000
Sm  0.0000  0.5000  0.5000
Sm  0.5000  0.0000  0.5000
Sm  0.5000  0.5000  0.0000
S  0.5000  0.5000  0.5000


(3)
First-principles (GGA-PBE) data for a geometry-optimized AcSm2S3 structure, as listed in Alexandria.

Output
Its uncorrected formation energy is -1987 meV per atom. Its density of states at the Fermi level is 0.481 states/eV per atom.

a = 7.1290 Å, b = 7.1290 Å, c = 7.1290 Å
α = 146.63°, β = 131.58°, γ = 60.08°
Fractional coordinates of all 6 atoms:
Ac  0.0000  0.0000  0.0000
Sm  0.3363  0.3363  0.0000
Sm  0.6637  0.6637  0.0000
S  0.1774  0.6774  0.5000
S  0.5000  0.0000  0.5000
S  0.8226  0.3226  0.5000


(4)
First-principles (GGA-PBE) data for a geometry-optimized Ac6SmS8 structure, as listed in Alexandria.

Output
Its uncorrected formation energy is -2042 meV per atom. Its density of states at the Fermi level is 0.498 states/eV per atom.

a = 8.5574 Å, b = 8.5574 Å, c = 8.5574 Å
α = 60.00°, β = 60.00°, γ = 60.00°
Fractional coordinates of all 15 atoms:
Ac  0.0000  0.0000  0.5000
Ac  0.0000  0.5000  0.0000
Ac  0.0000  0.5000  0.5000
Ac  0.5000  0.0000  0.0000
Ac  0.5000  0.0000  0.5000
Ac  0.5000  0.5000  0.0000
Sm  0.0000  0.0000  0.0000
S  0.2373  0.2373  0.7627
S  0.2373  0.7627  0.2373
S  0.2373  0.7627  0.7627
S  0.2500  0.2500  0.2500
S  0.7500  0.7500  0.7500
S  0.7627  0.2373  0.2373
S  0.7627  0.2373  0.7627
S  0.7627  0.7627  0.2373


Across the entries above, total energy takes the values -6.37 -5.17 -6.31 -6.20 eV per atom, respectively.